AcCoPtO6 | PBE with a Hubbard U | relaxed

a b c (Å): 5.341 5.149 5.149
angles (deg): 120.00 90.00 90.00
Last column: magnetic moment on the atom in μB.
Element x y z (fractional)
O 0.702 0.947 0.296  0.12
O 0.702 0.704 0.651  0.12
O 0.298 0.349 0.296  0.12
O 0.298 0.704 0.053  0.12
Ac 0.000 0.333 0.667  0.03
Co 0.500 0.667 0.333  0.69
O 0.702 0.349 0.053  0.12
Pt 0.500 0.000 0.000  0.39
O 0.298 0.947 0.651  0.12

Density of states at the Fermi level in states/eV per cell: 3.652
Electronic total energy in eV per atom: -6.382